1.
Material: Nd2MnGa3Pt4
Method: DFT, PBE-GGA
State: optimized geometry

Cell: 4.152 4.152 11.156 Å, 90.00 90.00 90.00°
Fractional coordinates of all 10 atoms:
Nd1 0.500 0.000 0.249
Nd2 0.000 0.500 0.751
Mn1 0.500 0.500 0.500
Ga1 0.000 0.000 0.500
Ga2 0.500 0.000 0.868
Ga3 0.000 0.500 0.132
Pt1 0.500 0.500 0.000
Pt2 0.000 0.000 0.000
Pt3 0.500 0.000 0.642
Pt4 0.000 0.500 0.358

Values from the calculation:
Formation enthalpy at 0 K in eV/atom: -0.866

***

2.
Material: NdMnGaPt3
Method: DFT, PBE-GGA
State: optimized geometry

Cell: 5.658 6.759 6.968 Å, 119.01 90.00 90.00°
Fractional coordinates of all 12 atoms:
Nd1 0.750 0.297 0.594
Nd2 0.250 0.703 0.406
Mn1 0.250 0.946 0.891
Mn2 0.750 0.054 0.109
Ga1 0.250 0.363 0.726
Ga2 0.750 0.637 0.274
Pt1 0.250 0.161 0.321
Pt2 0.000 0.294 0.000
Pt3 0.500 0.706 0.000
Pt4 0.500 0.294 0.000
Pt5 0.000 0.706 0.000
Pt6 0.750 0.839 0.679

Values from the calculation:
Formation enthalpy at 0 K in eV/atom: -0.530

***

3.
Material: Nd2MnGa2Rh5
Method: DFT, PBE-GGA
State: optimized geometry

Cell: 3.519 10.001 10.001 Å, 90.00 90.00 90.00°
Fractional coordinates of all 20 atoms:
Nd1 0.000 0.675 0.175
Nd2 0.000 0.325 0.825
Nd3 0.000 0.175 0.325
Nd4 0.000 0.825 0.675
Mn1 0.000 0.000 0.000
Mn2 0.000 0.500 0.500
Ga1 0.000 0.124 0.624
Ga2 0.000 0.876 0.376
Ga3 0.000 0.624 0.876
Ga4 0.000 0.376 0.124
Rh1 0.500 0.204 0.064
Rh2 0.500 0.796 0.936
Rh3 0.500 0.064 0.796
Rh4 0.500 0.704 0.436
Rh5 0.500 0.936 0.204
Rh6 0.500 0.296 0.564
Rh7 0.500 0.564 0.704
Rh8 0.500 0.436 0.296
Rh9 0.500 0.500 0.000
Rh10 0.500 0.000 0.500

Values from the calculation:
Formation enthalpy at 0 K in eV/atom: -0.580

***

4.
Material: Nd2MnGa3Rh4
Method: DFT, PBE-GGA
State: optimized geometry

Cell: 4.223 4.223 10.481 Å, 90.00 90.00 90.00°
Fractional coordinates of all 10 atoms:
Nd1 0.500 0.000 0.241
Nd2 0.000 0.500 0.759
Mn1 0.500 0.500 0.500
Ga1 0.000 0.000 0.500
Ga2 0.500 0.000 0.875
Ga3 0.000 0.500 0.125
Rh1 0.500 0.500 0.000
Rh2 0.000 0.000 0.000
Rh3 0.500 0.000 0.637
Rh4 0.000 0.500 0.363

Values from the calculation:
Formation enthalpy at 0 K in eV/atom: -0.683

***

5.
Material: Mn2GaNi8
Method: DFT, PBE-GGA
State: optimized geometry

Cell: 3.565 7.298 6.568 Å, 123.75 105.75 90.00°
Fractional coordinates of all 11 atoms:
Mn1 0.146 0.646 0.291
Mn2 0.854 0.354 0.709
Ga1 0.500 0.000 0.000
Ni1 0.668 0.924 0.335
Ni2 0.332 0.588 0.665
Ni3 0.181 0.181 0.361
Ni4 0.000 0.233 0.000
Ni5 0.819 0.819 0.639
Ni6 0.668 0.412 0.335
Ni7 0.332 0.076 0.665
Ni8 0.000 0.767 0.000

Values from the calculation:
Polymorph energy (0 for the lowest one) in eV per formula unit: 0.00
Formation enthalpy at 0 K in eV/atom: -0.004

***

6.
Material: MnGa2Ni3
Method: DFT, PBE-GGA
State: optimized geometry

Cell: 2.970 2.970 8.425 Å, 90.00 90.00 90.00°
Fractional coordinates of all 6 atoms:
Mn1 0.500 0.500 0.500
Ga1 0.500 0.500 0.831
Ga2 0.500 0.500 0.169
Ni1 0.000 0.000 0.000
Ni2 0.000 0.000 0.668
Ni3 0.000 0.000 0.332

Values from the calculation:
Polymorph energy (0 for the lowest one) in eV per formula unit: 0.26
Formation enthalpy at 0 K in eV/atom: -0.273

***

| no. | total moment (μB per formula unit) |
| --- | --- |
| 1 | 3.9 |
| 2 | 3.9 |
| 3 | 4.7 |
| 4 | 4.1 |
| 5 | 10.4 |
| 6 | 4.1 |